Here is a relaxed Pm2TiH crystal from Alexandria via LeMat-Bulk. Energies are from GGA-PBE.

Properties
Uncorrected energy, hartree per atom: -0.1808
Crystal system: trigonal

Cell lengths 3.3071, 3.3071, 27.5245 Å; angles 90.00, 90.00, 120.00 degrees
With the nearest neighbours (Å) after each atom.
Space group R-3m (No. 166, hexagonal axes)
Symmetry-distinct sites (fractional):
Pm  0.0000  0.0000  0.1090 [6 per cell]  3 H 2.48
Ti  0.0000  0.0000  0.0000 [3 per cell]  2 Pm 3.00, 6 Ti 3.31
H  0.0000  0.0000  0.5000 [3 per cell]  6 Pm 2.48